Entry 1:
A relaxed structure of TbSmCdBi. Source: Alexandria, functional GGA-PBE.

Summary:
As for the density of states at the Fermi level: 0.91 states/eV/atom. The energy of formation from the pure elements is -1.8 eV/f.u.

Lattice parameters (Å, degrees): 5.439 5.439 5.439 60.00 60.00 60.00
Atoms (fractional coordinates):
Tb 0.500 0.500 0.500
Bi 0.250 0.250 0.250
Sm 0.000 0.000 0.000
Cd 0.750 0.750 0.750



Entry 2:
A relaxed structure of ErPuSb. Source: Alexandria, functional GGA-PBE.

Summary:
As for the density of states at the Fermi level: 2.52 states/eV/atom. The uncorrected formation energy is -0.442 eV per atom.

Lattice parameters (Å, degrees): 4.011 4.011 5.743 110.44 110.44 90.00
Each line ends with the local moment (μB).
Atoms (fractional coordinates):
Sb 0.278 0.278 0.556  -0.05
Er 0.631 0.631 0.262  0.48
Pu 0.941 0.941 0.882  5.64



Entry 3:
A relaxed structure of CuAs3P. Source: Alexandria, functional GGA-PBE.

Summary:
As for the density of states at the Fermi level: 0.89 states/eV/atom. The energy of formation from the pure elements is 4.6 eV/f.u.

Lattice parameters (Å, degrees): 4.751 4.751 4.751 90.00 90.00 90.00
Atoms (fractional coordinates):
P 0.000 0.000 0.000
As 0.000 0.500 0.000
As 0.000 0.000 0.500
As 0.500 0.000 0.000
Cu 0.500 0.500 0.500



Entry 4:
A relaxed structure of MgC3. Source: Alexandria, functional GGA-PBE.

Summary:
As for the density of states at the Fermi level: 0.57 states/eV/atom. The energy of formation from the pure elements is 10.9 eV/f.u.

Lattice parameters (Å, degrees): 3.264 3.264 3.264 90.00 90.00 90.00
Atoms (fractional coordinates):
Mg 0.000 0.000 0.000
C 0.000 0.500 0.500
C 0.500 0.000 0.500
C 0.500 0.500 0.000



Entry 5:
A relaxed structure of Tl2Hg3As2. Source: Alexandria, functional GGA-PBE.

Summary:
As for the density of states at the Fermi level: 0.38 states/eV/atom. The energy of formation from the pure elements is 0.1 eV/f.u.

Lattice parameters (Å, degrees): 4.820 3.709 11.538 99.25 90.00 90.00
Atoms (fractional coordinates):
Tl 0.000 0.839 0.678
Tl 0.000 0.161 0.322
Hg 0.500 0.569 0.137
Hg 0.500 0.431 0.863
Hg 0.000 0.000 0.000
As 0.500 0.713 0.425
As 0.500 0.287 0.575



Entry 6:
A relaxed structure of ZrSi2Sn. Source: Alexandria, functional GGA-PBE.

Summary:
As for the density of states at the Fermi level: 0.21 states/eV/atom. The uncorrected formation energy is 0.392 eV per atom.

Lattice parameters (Å, degrees): 6.326 6.326 7.220 64.02 64.02 90.00
Atoms (fractional coordinates):
Si 0.630 0.125 0.250
Si 0.120 0.625 0.250
Si 0.375 0.370 0.750
Si 0.875 0.880 0.750
Sn 0.000 0.000 0.000
Sn 0.750 0.250 0.500
Zr 0.500 0.500 0.000
Zr 0.250 0.750 0.500



Entry 7:
A relaxed structure of VRu3Cl. Source: Alexandria, functional GGA-PBE.

Summary:
As for the density of states at the Fermi level: 1.12 states/eV/atom. The uncorrected formation energy is 1.465 eV per atom.

Lattice parameters (Å, degrees): 4.594 4.594 4.594 90.00 90.00 90.00
Each line ends with the local moment (μB).
Atoms (fractional coordinates):
Ru 0.000 0.500 0.000  1.54
Ru 0.000 0.000 0.500  1.54
Ru 0.500 0.000 0.000  1.54
V 0.000 0.000 0.000  -0.69
Cl 0.500 0.500 0.500  0.21



Entry 8:
A relaxed structure of Sm3Er8In. Source: Alexandria, functional GGA-PBE.

Summary:
As for the density of states at the Fermi level: 1.45 states/eV/atom. The energy of formation from the pure elements is 6.2 eV/f.u.

Lattice parameters (Å, degrees): 8.271 8.271 8.271 94.87 117.23 117.23
Atoms (fractional coordinates):
Sm 0.500 0.750 0.250
Sm 0.500 0.250 0.750
Sm 0.000 0.500 0.500
Er 0.502 0.263 0.263
Er 0.498 0.762 0.762
Er 0.000 0.737 0.238
Er 0.000 0.238 0.737
Er 0.252 0.379 0.379
Er 0.748 0.127 0.127
Er 0.000 0.621 0.873
Er 0.000 0.873 0.621
In 0.000 0.000 0.000



Entry 9:
A relaxed structure of RbSrNb2. Source: Alexandria, functional GGA-PBE.

Summary:
As for the density of states at the Fermi level: 1.77 states/eV/atom. The energy of formation from the pure elements is 7.8 eV/f.u.

Lattice parameters (Å, degrees): 5.861 5.861 5.861 60.00 60.00 60.00
Each line ends with the local moment (μB).
Atoms (fractional coordinates):
Sr 0.500 0.500 0.500  0.17
Nb 0.250 0.250 0.250  2.77
Nb 0.750 0.750 0.750  2.77
Rb 0.000 0.000 0.000  0.09



Entry 10:
A relaxed structure of Zr2FeTcH. Source: Alexandria, functional GGA-PBE.

Summary:
As for the density of states at the Fermi level: 0.66 states/eV/atom. The total energy comes out at -8.17 eV per atom.

Lattice parameters (Å, degrees): 4.590 4.590 3.334 90.00 90.00 90.00
Atoms (fractional coordinates):
H 0.000 0.000 0.000
Tc 0.500 0.500 0.500
Zr 0.000 0.500 0.000
Zr 0.500 0.000 0.000
Fe 0.000 0.000 0.500



Entry 11:
A relaxed structure of AlIr3W. Source: Alexandria, functional GGA-PBE.

Summary:
As for the density of states at the Fermi level: 1.34 states/eV/atom. The energy of formation from the pure elements is 7.8 eV/f.u.

Lattice parameters (Å, degrees): 4.749 4.749 4.749 90.00 90.00 90.00
Atoms (fractional coordinates):
Ir 0.000 0.500 0.000
Ir 0.000 0.000 0.500
Ir 0.500 0.000 0.000
Al 0.500 0.500 0.500
W 0.000 0.000 0.000



Entry 12:
A relaxed structure of LaEuF. Source: Alexandria, functional GGA-PBE.

Summary:
As for the density of states at the Fermi level: 1.08 states/eV/atom. The uncorrected formation energy is -1.582 eV per atom.

Lattice parameters (Å, degrees): 3.891 3.891 6.138 90.00 90.00 120.00
Each line ends with the local moment (μB).
Atoms (fractional coordinates):
Eu 0.000 0.000 0.912  -7.03
F 0.333 0.667 0.673  0.00
La 0.667 0.333 0.415  -0.17



Entry 13:
A relaxed structure of Er3Os. Source: Alexandria, functional GGA-PBE.

Summary:
As for the density of states at the Fermi level: 0.95 states/eV/atom. The energy of formation from the pure elements is -1.0 eV/f.u.

Lattice parameters (Å, degrees): 6.004 8.717 8.717 83.19 69.86 69.86
Atoms (fractional coordinates):
Er 0.335 0.000 0.807
Er 0.142 0.000 0.193
Er 0.858 0.807 0.000
Er 0.665 0.193 0.000
Er 0.500 0.358 0.642
Er 0.500 0.642 0.358
Er 0.858 0.642 0.642
Er 0.142 0.358 0.358
Er 0.998 0.000 0.593
Er 0.592 0.000 0.407
Er 0.409 0.593 0.000
Er 0.001 0.407 0.000
Os 0.999 0.289 0.712
Os 0.000 0.711 0.288
Os 0.289 0.712 0.711
Os 0.712 0.288 0.289